# 1
The following is a PBE-GGA calculation of Sr3Ga4Pt2 after structural relaxation, from the Alexandria database.

abc: 11.5719 4.3621 9.2855
angles: 90.00 109.44 90.00
Space group C2/m (No. 12)
Inequivalent atoms, fractional coordinates:
1 Sr 0.0000 0.0000 0.0000 [2 per cell]
2 Sr 0.1119 0.5000 0.6887 [4 per cell]
3 Ga 0.1427 0.0000 0.4279 [4 per cell]
4 Ga 0.2278 0.5000 0.0625 [4 per cell]
5 Pt 0.1697 0.5000 0.3040 [4 per cell]

## Properties
density: 7.0 Mg/m³
total energy: -71.2 eV for the cell shown
ΔH_f (0 K): -68.2 kJ per mole of atoms

# 2
The following is a PBE-GGA calculation of SrGa2Pt5 after structural relaxation, from the Alexandria database.

abc: 3.9751 7.2941 10.0460
angles: 90.00 90.00 90.00
Space group Immm (No. 71)
Inequivalent atoms, fractional coordinates:
1 Sr 0.0000 0.0000 0.0000 [2 per cell]
2 Ga 0.0000 0.5000 0.2468 [4 per cell]
3 Pt 0.0000 0.1944 0.3540 [8 per cell]
4 Pt 0.0000 0.5000 0.0000 [2 per cell]

## Properties
density: 13.7 Mg/m³
total energy: -87.0 eV for the cell shown
ΔH_f (0 K): -66.9 kJ per mole of atoms

# 3
The following is a PBE-GGA calculation of Sr2Ga3Pt5 after structural relaxation, from the Alexandria database.

abc: 4.2277 4.2277 11.4021
angles: 90.00 90.00 90.00
Space group P-4m2 (No. 115)
Inequivalent atoms, fractional coordinates:
1 Sr 0.0000 0.5000 0.2265 [2 per cell]
2 Ga 0.0000 0.5000 0.6341 [2 per cell]
3 Ga 0.5000 0.5000 0.5000 [1 per cell]
4 Pt 0.0000 0.0000 0.0000 [1 per cell]
5 Pt 0.0000 0.0000 0.5000 [1 per cell]
6 Pt 0.0000 0.5000 0.8453 [2 per cell]
7 Pt 0.5000 0.5000 0.0000 [1 per cell]

## Properties
density: 11.1 Mg/m³
total energy: -48.5 eV for the cell shown
energy above the most stable polymorph in this dataset: 0.2402 eV per atom
ΔH_f (0 K): -56.4 kJ per mole of atoms

# 4
The following is a PBE-GGA calculation of Sr3Ga3Pt after structural relaxation, from the Alexandria database.

abc: 11.8141 4.4312 15.7083
angles: 90.00 108.86 90.00
Space group C2/m (No. 12)
Inequivalent atoms, fractional coordinates:
1 Sr 0.0156 0.0000 0.3874 [4 per cell]
2 Sr 0.1111 0.0000 0.9224 [4 per cell]
3 Sr 0.2442 0.0000 0.2351 [4 per cell]
4 Ga 0.0414 0.5000 0.2363 [4 per cell]
5 Ga 0.0981 0.5000 0.0776 [4 per cell]
6 Ga 0.1820 0.5000 0.5404 [4 per cell]
7 Pt 0.2271 0.5000 0.3851 [4 per cell]

## Properties
density: 5.7 Mg/m³
total energy: -97.1 eV for the cell shown
ΔH_f (0 K): -56.6 kJ per mole of atoms

# 5
The following is a PBE-GGA calculation of SrGa6Pt2 after structural relaxation, from the Alexandria database.

abc: 4.7637 4.7637 7.7493
angles: 90.00 90.00 90.00
Space group P4/mmm (No. 123)
Inequivalent atoms, fractional coordinates:
1 Sr 0.0000 0.0000 0.0000 [1 per cell]
2 Ga 0.0000 0.0000 0.5000 [1 per cell]
3 Ga 0.0000 0.5000 0.3032 [4 per cell]
4 Ga 0.5000 0.5000 0.5000 [1 per cell]
5 Pt 0.5000 0.5000 0.1748 [2 per cell]

## Properties
density: 8.5 Mg/m³
total energy: -36.1 eV for the cell shown
ΔH_f (0 K): -44.3 kJ per mole of atoms

# 6
The following is a PBE-GGA calculation of Sr3Ga4Pt2 after structural relaxation, from the Alexandria database.

abc: 11.7985 4.3744 8.9197
angles: 90.00 102.54 90.00
Space group C2/m (No. 12)
Inequivalent atoms, fractional coordinates:
1 Sr 0.0000 0.0000 0.0000 [2 per cell]
2 Sr 0.1707 0.5000 0.6598 [4 per cell]
3 Ga 0.0520 0.0000 0.3785 [4 per cell]
4 Ga 0.2241 0.5000 0.0622 [4 per cell]
5 Pt 0.1120 0.5000 0.2762 [4 per cell]

## Properties
density: 6.9 Mg/m³
total energy: -71.2 eV for the cell shown
ΔH_f (0 K): -68.1 kJ per mole of atoms

M_tot (computed, μB per formula unit): 0.0; 0.0; 0.0; 0.0; 0.0; 0.0